1.
Computed, not measured: a PBEsol-optimized structure of LuTaO4 at the SCAN level of DFT.

Geometry as CIF:
```
data_LuTaO4
_symmetry_space_group_name_H-M 'P 1 2/c 1'
_symmetry_Int_Tables_number 13
_symmetry_space_group_name_Hall '-P 2yc'
_cell_length_a 5.0270
_cell_length_b 5.3251
_cell_length_c 5.1970
_cell_angle_alpha 90.00
_cell_angle_beta 96.17
_cell_angle_gamma 90.00
loop_
_atom_site_label
_atom_site_type_symbol
_atom_site_fract_x
_atom_site_fract_y
_atom_site_fract_z
Lu1 Lu 0.0000 0.2344 0.2500
Ta1 Ta 0.5000 0.2989 0.7500
O1 O 0.2465 0.0733 0.5910
O2 O 0.2617 0.4402 0.9911
```

Formation energy (no corrections) (kJ per mole of atoms): -345.9
E (eV per atom): -28.061

***

2.
Computed, not measured: a PBEsol-optimized structure of Rh2W at the SCAN level of DFT.

Geometry as CIF:
```
data_Rh2W
_symmetry_space_group_name_H-M 'P n m a'
_symmetry_Int_Tables_number 62
_symmetry_space_group_name_Hall '-P 2ac 2n'
_cell_length_a 4.7410
_cell_length_b 4.3284
_cell_length_c 8.2295
_cell_angle_alpha 90.00
_cell_angle_beta 90.00
_cell_angle_gamma 90.00
loop_
_atom_site_label
_atom_site_type_symbol
_atom_site_fract_x
_atom_site_fract_y
_atom_site_fract_z
Rh1 Rh 0.1593 0.2500 0.1711
Rh2 Rh 0.1668 0.2500 0.5070
W1 W 0.1699 0.2500 0.8445
```

Energy relative to the elements (eV per atom): -0.28
E (eV per atom): -46.024

***

3.
Computed, not measured: a PBEsol-optimized structure of Ga3Pd7 at the SCAN level of DFT.

Geometry as CIF:
```
data_Ga3Pd7
_symmetry_space_group_name_H-M 'C 1 2/m 1'
_symmetry_Int_Tables_number 12
_symmetry_space_group_name_Hall '-C 2y'
_cell_length_a 13.5238
_cell_length_b 4.0461
_cell_length_c 5.4144
_cell_angle_alpha 90.00
_cell_angle_beta 105.17
_cell_angle_gamma 90.00
loop_
_atom_site_label
_atom_site_type_symbol
_atom_site_fract_x
_atom_site_fract_y
_atom_site_fract_z
Ga1 Ga 0.0000 0.0000 0.0000
Ga2 Ga 0.1916 0.0000 0.6603
Pd1 Pd 0.0000 0.0000 0.5000
Pd2 Pd 0.0833 0.5000 0.8556
Pd3 Pd 0.1240 0.5000 0.3829
Pd4 Pd 0.2061 0.0000 0.1391
```

Energy relative to the elements (eV per atom): -0.59
E (eV per atom): -28.433

***

4.
Computed, not measured: a PBEsol-optimized structure of Ba2NaLi2 at the SCAN level of DFT.

Geometry as CIF:
```
data_Ba2NaLi2
_symmetry_space_group_name_H-M 'I 4/m m m'
_symmetry_Int_Tables_number 139
_symmetry_space_group_name_Hall '-I 4 2'
_cell_length_a 4.1376
_cell_length_b 4.1376
_cell_length_c 23.3733
_cell_angle_alpha 90.00
_cell_angle_beta 90.00
_cell_angle_gamma 90.00
loop_
_atom_site_label
_atom_site_type_symbol
_atom_site_fract_x
_atom_site_fract_y
_atom_site_fract_z
Ba1 Ba 0.0000 0.0000 0.1184
Na1 Na 0.0000 0.0000 0.5000
Li1 Li 0.0000 0.5000 0.2500
```

Energy relative to the elements (eV per atom): 0.08
E (eV per atom): -17.540

***

5.
Computed, not measured: a PBEsol-optimized structure of MoIrC2Se at the SCAN level of DFT.

Geometry as CIF:
```
data_MoIrC2Se
_symmetry_space_group_name_H-M 'P 4/m m m'
_symmetry_Int_Tables_number 123
_symmetry_space_group_name_Hall '-P 4 2'
_cell_length_a 3.7882
_cell_length_b 3.7882
_cell_length_c 4.8890
_cell_angle_alpha 90.00
_cell_angle_beta 90.00
_cell_angle_gamma 90.00
loop_
_atom_site_label
_atom_site_type_symbol
_atom_site_fract_x
_atom_site_fract_y
_atom_site_fract_z
Mo1 Mo 0.0000 0.0000 0.0000
Ir1 Ir 0.5000 0.5000 0.0000
C1 C 0.0000 0.5000 0.5000
Se1 Se 0.0000 0.0000 0.5000
```

Formation energy (no corrections) (kJ per mole of atoms): 272.4
E (eV per atom): -26.429

***

6.
Computed, not measured: a PBEsol-optimized structure of MgNiGe at the SCAN level of DFT.

Geometry as CIF:
```
data_MgNiGe
_symmetry_space_group_name_H-M 'P n m a'
_symmetry_Int_Tables_number 62
_symmetry_space_group_name_Hall '-P 2ac 2n'
_cell_length_a 6.4145
_cell_length_b 4.0390
_cell_length_c 6.8427
_cell_angle_alpha 90.00
_cell_angle_beta 90.00
_cell_angle_gamma 90.00
loop_
_atom_site_label
_atom_site_type_symbol
_atom_site_fract_x
_atom_site_fract_y
_atom_site_fract_z
Mg1 Mg 0.0033 0.2500 0.1877
Ni1 Ni 0.1544 0.7500 0.4456
Ge1 Ge 0.2091 0.2500 0.6187
```

Energy relative to the elements (eV per atom): -0.42
E (eV per atom): -13.835

***

7.
Computed, not measured: a PBEsol-optimized structure of Y3Ag at the SCAN level of DFT.

Geometry as CIF:
```
data_Y3Ag
_symmetry_space_group_name_H-M 'P 4/m m m'
_symmetry_Int_Tables_number 123
_symmetry_space_group_name_Hall '-P 4 2'
_cell_length_a 3.5230
_cell_length_b 3.5230
_cell_length_c 8.7179
_cell_angle_alpha 90.00
_cell_angle_beta 90.00
_cell_angle_gamma 90.00
loop_
_atom_site_label
_atom_site_type_symbol
_atom_site_fract_x
_atom_site_fract_y
_atom_site_fract_z
Y1 Y 0.0000 0.0000 0.0000
Y2 Y 0.5000 0.5000 0.2887
Ag1 Ag 0.0000 0.0000 0.5000
```

Energy relative to the elements (eV per atom): -0.15
E (eV per atom): -28.874

***

8.
Computed, not measured: a PBEsol-optimized structure of SrLiSi2 at the SCAN level of DFT.

Geometry as CIF:
```
data_SrLiSi2
_symmetry_space_group_name_H-M 'P m m m'
_symmetry_Int_Tables_number 47
_symmetry_space_group_name_Hall '-P 2 2'
_cell_length_a 3.0794
_cell_length_b 3.9267
_cell_length_c 6.5018
_cell_angle_alpha 90.00
_cell_angle_beta 90.00
_cell_angle_gamma 90.00
loop_
_atom_site_label
_atom_site_type_symbol
_atom_site_fract_x
_atom_site_fract_y
_atom_site_fract_z
Sr1 Sr 0.0000 0.0000 0.0000
Li1 Li 0.0000 0.0000 0.5000
Si1 Si 0.5000 0.5000 0.3198
```

Formation energy (no corrections) (kJ per mole of atoms): -14.5
E (eV per atom): -11.324

***

9.
Computed, not measured: a PBEsol-optimized structure of ThHg3 at the SCAN level of DFT.

Geometry as CIF:
```
data_ThHg3
_symmetry_space_group_name_H-M 'P 63/m m c'
_symmetry_Int_Tables_number 194
_symmetry_space_group_name_Hall '-P 6c 2c'
_cell_length_a 6.6947
_cell_length_b 6.6947
_cell_length_c 4.9225
_cell_angle_alpha 90.00
_cell_angle_beta 90.00
_cell_angle_gamma 120.00
loop_
_atom_site_label
_atom_site_type_symbol
_atom_site_fract_x
_atom_site_fract_y
_atom_site_fract_z
Th1 Th 0.3333 0.6667 0.2500
Hg1 Hg 0.1615 0.3230 0.7500
```

Energy relative to the elements (eV per atom): -0.35
E (eV per atom): -75.454

***

10.
Computed, not measured: a PBEsol-optimized structure of Sr2CoP at the SCAN level of DFT.

Geometry as CIF:
```
data_Sr2CoP
_symmetry_space_group_name_H-M 'I -4 m 2'
_symmetry_Int_Tables_number 119
_symmetry_space_group_name_Hall 'I -4 -2'
_cell_length_a 4.3057
_cell_length_b 4.3057
_cell_length_c 10.0772
_cell_angle_alpha 90.00
_cell_angle_beta 90.00
_cell_angle_gamma 90.00
loop_
_atom_site_label
_atom_site_type_symbol
_atom_site_fract_x
_atom_site_fract_y
_atom_site_fract_z
Sr1 Sr 0.0000 0.0000 0.0000
Sr2 Sr 0.0000 0.5000 0.2500
Co1 Co 0.0000 0.0000 0.5000
P1 P 0.0000 0.5000 0.7500
```

Energy relative to the elements (eV per atom): -0.08
E (eV per atom): -18.142

***

11.
Computed, not measured: a PBEsol-optimized structure of Sc7CoI12 at the SCAN level of DFT.

Geometry as CIF:
```
data_Sc7CoI12
_symmetry_space_group_name_H-M 'R -3'
_symmetry_Int_Tables_number 148
_symmetry_space_group_name_Hall '-R 3'
_cell_length_a 14.6451
_cell_length_b 14.6451
_cell_length_c 10.0848
_cell_angle_alpha 90.00
_cell_angle_beta 90.00
_cell_angle_gamma 120.00
loop_
_atom_site_label
_atom_site_type_symbol
_atom_site_fract_x
_atom_site_fract_y
_atom_site_fract_z
Sc1 Sc 0.0000 0.0000 0.0000
Sc2 Sc 0.0426 0.1526 0.3659
Co1 Co 0.0000 0.0000 0.5000
I1 I 0.0200 0.5869 0.1604
I2 I 0.0510 0.1788 0.8354
```

Formation energy (no corrections) (kJ per mole of atoms): -115.3
E (eV per atom): -29.088

***

12.
Computed, not measured: a PBEsol-optimized structure of AlMoAs2 at the SCAN level of DFT.

Geometry as CIF:
```
data_AlMoAs2
_symmetry_space_group_name_H-M 'P 1 m 1'
_symmetry_Int_Tables_number 6
_symmetry_space_group_name_Hall 'P -2y'
_cell_length_a 3.4008
_cell_length_b 4.7066
_cell_length_c 4.6463
_cell_angle_alpha 90.00
_cell_angle_beta 107.67
_cell_angle_gamma 90.00
loop_
_atom_site_label
_atom_site_type_symbol
_atom_site_fract_x
_atom_site_fract_y
_atom_site_fract_z
Al1 Al 0.0000 0.0000 0.0000
Mo1 Mo 0.3908 0.5000 0.8440
As1 As 0.0585 0.5000 0.2528
As2 As 0.3342 0.0000 0.5913
```

Energy relative to the elements (eV per atom): 0.05
E (eV per atom): -20.702